# 1
Computed, not measured: a geometry-optimized Li2BeCl structure at the PBE level of DFT.

As for the density of states at the Fermi level: 2.55 states/eV per cell. The total energy is -10.18 eV per formula unit. For the uncorrected formation energy, the calculation gives -0.1941 eV/atom. The distance to the lowest polymorph of the same formula is 0.697 eV per formula unit. For the density, the calculation gives 1.6 g/cm3.

The structure belongs to space group Cmmm (No. 65); the cell edges are 5.524, 7.495 and 2.945 Å and the angles 90.00°, 90.00° and 90.00°. Symmetry generates all atoms from Li at (0.250, 0.250, 0.000), Be at (0.000, 0.000, 0.500) and Cl at (0.000, 0.500, 0.500).

# 2
Computed, not measured: a geometry-optimized Ho2ThAl2Ga2 structure at the PBE level of DFT.

As for the density of states at the Fermi level: 15.72 states/eV per cell. Its formation energy is -0.3748 eV/atom. The total energy is -32.74 eV per formula unit. For the density, the calculation gives 7.3 g/cm3.

The structure belongs to space group R-3m (No. 166, hexagonal axes); the cell edges are 4.2430, 4.2430 and 32.9900 Å and the angles 90.00°, 90.00° and 120.00°. Symmetry generates all atoms from Ho at (0.0000, 0.0000, 0.1264), Th at (0.0000, 0.0000, 0.0000), Al at (0.0000, 0.0000, 0.3948) and Ga at (0.0000, 0.0000, 0.2605).

# 3
Computed, not measured: a geometry-optimized Cu2NiHPd structure at the PBE level of DFT.

As for the density of states at the Fermi level: 3.66 states/eV per cell. The total energy is -22.20 eV per formula unit. The distance to the lowest polymorph of the same formula is 0.304 eV per formula unit. For the density, the calculation gives 9.1 g/cm3.

The structure belongs to space group P4/mmm (No. 123); the cell edges are 3.799, 3.799 and 3.697 Å and the angles 90.00°, 90.00° and 90.00°. Symmetry generates all atoms from Cu at (0.000, 0.500, 0.000), Ni at (0.000, 0.000, 0.500), H at (0.500, 0.500, 0.000) and Pd at (0.500, 0.500, 0.500).